Entry 1:
# ZnIn2CoHg (GGA-PBE, optimized geometry)
# total moment = 0.0 μB per formula unit
# energy of formation from the pure elements = 0.55 eV/f.u.
# raw total energy = -0.10002 Ha/atom
data_ZnIn2CoHg
_chemical_formula_sum 'Zn1 In2 Co1 Hg1'
_symmetry_space_group_name_H-M 'P 1'
_symmetry_Int_Tables_number 1
_cell_length_a 4.983
_cell_length_b 4.983
_cell_length_c 4.721
_cell_angle_alpha 90.00
_cell_angle_beta 90.00
_cell_angle_gamma 90.00
loop_
_symmetry_equiv_pos_as_xyz
'x,y,z'
loop_
_atom_site_label
_atom_site_fract_x
_atom_site_fract_y
_atom_site_fract_z
Zn1 0.000 0.000 0.500
Co1 0.000 0.000 0.000
Hg1 0.500 0.500 0.500
In1 0.000 0.500 0.000
In2 0.500 0.000 0.000

***

Entry 2:
# Ho2BiO5 (GGA-PBE, optimized geometry)
# total moment = 0.0 μB per formula unit
# raw total energy = -0.26802 Ha/atom
# E_form (uncorrected) = -2565 meV/atom
data_Ho2BiO5
_chemical_formula_sum 'Ho8 Bi4 O20'
_symmetry_space_group_name_H-M 'P 1'
_symmetry_Int_Tables_number 1
_cell_length_a 6.496
_cell_length_b 7.681
_cell_length_c 9.579
_cell_angle_alpha 90.00
_cell_angle_beta 92.34
_cell_angle_gamma 90.00
loop_
_symmetry_equiv_pos_as_xyz
'x,y,z'
loop_
_atom_site_label
_atom_site_fract_x
_atom_site_fract_y
_atom_site_fract_z
Ho1 0.738 0.881 0.016
Ho2 0.238 0.619 0.016
Ho3 0.417 0.852 0.318
Ho4 0.917 0.648 0.318
Ho5 0.083 0.352 0.682
Ho6 0.583 0.148 0.682
Ho7 0.762 0.381 0.984
Ho8 0.262 0.119 0.984
Bi1 0.468 0.390 0.327
Bi2 0.968 0.110 0.327
Bi3 0.032 0.890 0.673
Bi4 0.532 0.610 0.673
O1 0.955 0.135 0.097
O2 0.892 0.624 0.094
O3 0.455 0.365 0.097
O4 0.392 0.876 0.094
O5 0.748 0.900 0.260
O6 0.814 0.364 0.329
O7 0.248 0.600 0.260
O8 0.606 0.643 0.435
O9 0.314 0.136 0.329
O10 0.106 0.857 0.435
O11 0.894 0.143 0.565
O12 0.686 0.864 0.671
O13 0.394 0.357 0.565
O14 0.752 0.400 0.740
O15 0.186 0.636 0.671
O16 0.252 0.100 0.740
O17 0.608 0.124 0.906
O18 0.545 0.635 0.903
O19 0.108 0.376 0.906
O20 0.045 0.865 0.903

***

Entry 3:
# CeGaF (GGA-PBE, optimized geometry)
# total moment = 1.5 μB per formula unit
# relative energy among the computed polymorphs = 0 meV/atom
# raw total energy = -0.19648 Ha/atom
# E_form (uncorrected) = -1736 meV/atom
data_CeGaF
_chemical_formula_sum 'Ce2 Ga2 F2'
_symmetry_space_group_name_H-M 'P 1'
_symmetry_Int_Tables_number 1
_cell_length_a 3.402
_cell_length_b 3.402
_cell_length_c 9.434
_cell_angle_alpha 90.00
_cell_angle_beta 90.00
_cell_angle_gamma 90.00
loop_
_symmetry_equiv_pos_as_xyz
'x,y,z'
loop_
_atom_site_label
_atom_site_fract_x
_atom_site_fract_y
_atom_site_fract_z
Ga1 0.000 0.500 0.569
Ga2 0.500 0.000 0.431
Ce1 0.000 0.500 0.200
Ce2 0.500 0.000 0.800
F1 0.500 0.000 0.074
F2 0.000 0.500 0.926

***

Entry 4:
# ReAs2Rh (GGA-PBE, optimized geometry)
# total moment = 0.0 μB per formula unit
# relative energy among the computed polymorphs = 197 meV/atom
# energy of formation from the pure elements = 0.55 eV/f.u.
# raw total energy = -0.26230 Ha/atom
data_ReAs2Rh
_chemical_formula_sum 'Re1 As2 Rh1'
_symmetry_space_group_name_H-M 'P 1'
_symmetry_Int_Tables_number 1
_cell_length_a 4.403
_cell_length_b 4.403
_cell_length_c 4.403
_cell_angle_alpha 60.00
_cell_angle_beta 60.00
_cell_angle_gamma 60.00
loop_
_symmetry_equiv_pos_as_xyz
'x,y,z'
loop_
_atom_site_label
_atom_site_fract_x
_atom_site_fract_y
_atom_site_fract_z
Re1 0.500 0.500 0.500
As1 0.250 0.250 0.250
As2 0.750 0.750 0.750
Rh1 0.000 0.000 0.000